Entry 1:
Ho3ScS6: optimized geometry, PBE.

Cell and atoms, written as POSCAR:
```
Ho3ScS6
1.0
7.8767 0.0019 0.0019
-0.1690 7.8749 0.0019
-0.1690 -0.1727 7.8730
S Sc Ho
12 2 6
direct
0.0833 0.9186 0.6920
0.8106 0.4588 0.5876
0.6920 0.0833 0.9186
0.5412 0.4124 0.1894
0.1894 0.5412 0.4124
0.0814 0.3080 0.9167
0.3080 0.9167 0.0814
0.9186 0.6920 0.0833
0.4588 0.5876 0.8106
0.9167 0.0814 0.3080
0.5876 0.8106 0.4588
0.4124 0.1894 0.5412
0.5000 0.5000 0.5000
0.0000 0.0000 0.0000
0.5706 0.0789 0.2483
0.4294 0.9211 0.7517
0.7517 0.4294 0.9211
0.9211 0.7517 0.4294
0.0789 0.2483 0.5706
0.2483 0.5706 0.0789
```

* DOS at the Fermi energy: 0.0 states/eV/f.u.
* energy relative to the elements, uncorrected: -2.03 eV/atom
* electronic total energy: -6.5122 eV/atom

---

Entry 2:
HoSc4S6: optimized geometry, PBE.

Cell and atoms, written as POSCAR:
```
HoSc4S6
1.0
-2.9067 2.2006 -0.4682
-1.3081 -5.4341 -2.9925
-7.7700 -6.8819 15.8933
S Ho Sc
12 2 8
direct
0.9529 0.9058 0.8369
0.5000 0.0000 0.0000
0.0471 0.0942 0.3369
0.6842 0.3683 0.7500
0.9529 0.9058 0.6631
0.0471 0.0942 0.1631
0.7692 0.5383 0.0872
0.2308 0.4617 0.9128
0.3158 0.6317 0.2500
0.5000 0.0000 0.5000
0.2308 0.4617 0.5872
0.7692 0.5383 0.4128
0.6520 0.3039 0.2500
0.3480 0.6961 0.7500
0.4067 0.8135 0.3751
0.5933 0.1865 0.6249
0.8600 0.7200 0.9609
0.1400 0.2800 0.0391
0.8600 0.7200 0.5391
0.1400 0.2800 0.4609
0.4067 0.8135 0.1249
0.5933 0.1865 0.8751
```

* DOS at the Fermi energy: 3.2 states/eV/f.u.
* energy relative to the elements, uncorrected: -1.95 eV/atom
* electronic total energy: -6.9203 eV/atom

---

Entry 3:
Ho4ScS7: optimized geometry, PBE.

Cell and atoms, written as POSCAR:
```
Ho4ScS7
1.0
3.7579 0.0000 0.0000
-1.8789 6.0925 -1.6121
0.0000 0.0244 11.4590
S Ho Sc
7 4 1
direct
0.9609 0.9217 0.2156
0.7439 0.4877 0.3589
0.3384 0.6768 0.9473
0.0366 0.0733 0.7779
0.4955 0.9911 0.5052
0.6593 0.3185 0.0510
0.2670 0.5339 0.6461
0.9991 0.9982 0.9971
0.3010 0.6019 0.1915
0.6983 0.3966 0.8042
0.1114 0.2227 0.4277
0.8888 0.7775 0.5775
```

* DOS at the Fermi energy: 1.5 states/eV/f.u.
* energy relative to the elements, uncorrected: -2.04 eV/atom
* electronic total energy: -6.5043 eV/atom

---

Entry 4:
HoSc2S3: optimized geometry, PBE.

Cell and atoms, written as POSCAR:
```
HoSc2S3
1.0
3.4740 -0.0003 -1.4498
-1.0315 4.6028 -2.4727
0.6529 0.5309 6.4512
Ho S Sc
1 3 2
direct
0.5000 0.0000 0.0000
0.5000 0.5000 0.0000
0.1754 0.1754 0.3507
0.8246 0.8246 0.6493
0.1607 0.6607 0.3213
0.8393 0.3393 0.6787
```

* DOS at the Fermi energy: 2.9 states/eV/f.u.
* energy relative to the elements, uncorrected: -1.89 eV/atom
* E above lowest polymorph: 0.0 meV per atom
* electronic total energy: -6.8283 eV/atom

---

Entry 5:
HoScS: optimized geometry, PBE.

Cell and atoms, written as POSCAR:
```
HoScS
1.0
3.6595 0.0000 0.0000
-1.8297 3.1692 0.0000
0.0000 0.0000 5.9858
Sc Ho S
1 1 1
direct
0.3333 0.6667 0.5925
0.0000 0.0000 0.0606
0.6667 0.3333 0.3468
```

* DOS at the Fermi energy: 2.9 states/eV/f.u.
* energy relative to the elements, uncorrected: -1.24 eV/atom
* electronic total energy: -6.2515 eV/atom

---

Entry 6:
HoSc3S6: optimized geometry, PBE.

Cell and atoms, written as POSCAR:
```
HoSc3S6
1.0
3.7582 0.0000 0.0000
0.0000 10.6229 -0.0291
0.0000 -3.5782 10.2013
S Sc Ho
12 6 2
direct
0.7500 0.8006 0.7503
0.7500 0.9192 0.0925
0.2500 0.5247 0.3869
0.2500 0.1994 0.2497
0.2500 0.0808 0.9075
0.2500 0.6068 0.9404
0.2500 0.2645 0.7292
0.7500 0.1168 0.4652
0.7500 0.4753 0.6131
0.7500 0.3932 0.0596
0.7500 0.7355 0.2708
0.2500 0.8832 0.5348
0.2500 0.8397 0.9130
0.2500 0.3179 0.5003
0.7500 0.1603 0.0870
0.7500 0.6821 0.4997
0.7500 0.4398 0.8347
0.2500 0.5602 0.1653
0.2500 0.9517 0.3030
0.7500 0.0483 0.6970
```

* energy relative to the elements, uncorrected: -1.94 eV/atom
* electronic total energy: -6.7689 eV/atom

---

Entry 7:
Sm3Ho2ScS6: optimized geometry, PBE.

Cell and atoms, written as POSCAR:
```
Sm3Ho2ScS6
1.0
-5.8421 -1.0411 3.2286
5.8459 -1.7143 2.9196
0.4074 6.8082 0.5794
Ho Sm Sc S
2 3 1 6
direct
0.6664 0.3336 0.0000
0.3336 0.6664 0.0000
0.8305 0.1695 0.5000
0.1695 0.8305 0.5000
0.5000 0.5000 0.5000
0.0000 0.0000 0.0000
0.5973 0.9230 0.7675
0.7532 0.7532 0.2357
0.2468 0.2468 0.7643
0.0770 0.4027 0.2325
0.9230 0.5973 0.7675
0.4027 0.0770 0.2325
```

* DOS at the Fermi energy: 5.4 states/eV/f.u.
* energy relative to the elements, uncorrected: -1.98 eV/atom
* electronic total energy: -6.5110 eV/atom

---

Entry 8:
SmHo2ScS6: optimized geometry, PBE.

Cell and atoms, written as POSCAR:
```
SmHo2ScS6
1.0
-1.9375 -2.9383 5.8586
4.7038 -2.3803 4.3497
1.0983 3.6596 6.1861
S Ho Sc Sm
6 2 1 1
direct
0.2200 0.9346 0.2479
0.4059 0.7101 0.7568
0.5975 0.2201 0.2478
0.7102 0.1270 0.7568
0.9346 0.5976 0.2479
0.1271 0.4060 0.7568
0.5194 0.5193 0.4421
0.0143 0.0143 0.9572
0.3199 0.3199 0.0402
0.8127 0.8127 0.5618
```

* DOS at the Fermi energy: 0.0 states/eV/f.u.
* energy relative to the elements, uncorrected: -1.99 eV/atom
* electronic total energy: -6.4918 eV/atom

---

Entry 9:
Sm3HoSc3S8: optimized geometry, PBE.

Cell and atoms, written as POSCAR:
```
Sm3HoSc3S8
1.0
-7.0257 2.9229 0.5591
1.1559 -6.4236 -3.9520
0.5634 -0.1275 7.7373
S Sc Sm Ho
8 3 3 1
direct
0.7485 0.0166 0.2651
0.2515 0.9834 0.7349
0.7418 0.4837 0.7255
0.7319 0.9834 0.7349
0.2582 0.5163 0.2745
0.7485 0.4970 0.2651
0.2681 0.0166 0.2651
0.2515 0.5030 0.7349
0.5000 0.5000 0.5000
0.5000 0.0000 0.5000
0.0000 0.5000 0.5000
0.5000 0.5000 0.0000
0.0000 0.5000 0.0000
0.0000 0.0000 0.0000
0.0000 0.0000 0.5000
```

* DOS at the Fermi energy: 7.1 states/eV/f.u.
* energy relative to the elements, uncorrected: -1.98 eV/atom
* electronic total energy: -6.7000 eV/atom

---

Entry 10:
SmHo2ScS4: optimized geometry, PBE.

Cell and atoms, written as POSCAR:
```
SmHo2ScS4
1.0
3.8425 0.0000 0.0000
0.0000 6.7667 0.1514
0.0000 -2.3295 6.2833
Sm Ho S Sc
1 2 4 1
direct
0.5000 0.5000 0.0000
0.5000 0.0000 0.5000
0.0000 0.5000 0.5000
0.5000 0.2374 0.2448
0.0000 0.7621 0.2531
0.0000 0.2379 0.7469
0.5000 0.7626 0.7552
0.0000 0.0000 0.0000
```

* DOS at the Fermi energy: 4.9 states/eV/f.u.
* energy relative to the elements, uncorrected: -1.94 eV/atom
* electronic total energy: -6.5249 eV/atom

---

Entry 11:
SmHoSc2S4: optimized geometry, PBE.

Cell and atoms, written as POSCAR:
```
SmHoSc2S4
1.0
-0.2481 -3.0642 2.2092
6.6365 -0.6103 -0.1012
2.5612 3.4319 5.0477
S Sc Sm Ho
4 2 1 1
direct
0.5000 0.2322 0.7508
0.5000 0.7678 0.2492
0.0000 0.2281 0.2627
0.0000 0.7719 0.7373
0.5000 0.0000 0.5000
0.0000 0.0000 0.0000
0.5000 0.5000 0.0000
0.0000 0.5000 0.5000
```

* DOS at the Fermi energy: 4.9 states/eV/f.u.
* energy relative to the elements, uncorrected: -1.92 eV/atom
* electronic total energy: -6.7259 eV/atom

---

Entry 12:
SmHoSc2S6: optimized geometry, PBE.

Cell and atoms, written as POSCAR:
```
SmHoSc2S6
1.0
-3.8053 -4.3967 -3.4165
-0.4001 -6.4145 2.0439
-6.0701 -2.2218 2.9646
S Sc Ho Sm
6 2 1 1
direct
0.3783 0.7361 0.7427
0.8918 0.6295 0.2418
0.2369 0.8917 0.2418
0.6295 0.2369 0.2418
0.1429 0.3784 0.7427
0.7361 0.1428 0.7427
0.5138 0.5137 0.4588
0.0113 0.0114 0.9659
0.3131 0.3131 0.0606
0.8078 0.8078 0.5765
```

* DOS at the Fermi energy: 0.0 states/eV/f.u.
* energy relative to the elements, uncorrected: -1.96 eV/atom
* electronic total energy: -6.6275 eV/atom

---

Entry 13:
Sm3Ho4ScS8: optimized geometry, PBE.

Cell and atoms, written as POSCAR:
```
Sm3Ho4ScS8
1.0
7.8213 0.0000 0.0000
0.0000 7.8367 0.0066
-3.9107 -3.9061 5.5333
Sm Ho S Sc
3 4 8 1
direct
0.5000 0.5000 0.0000
0.0000 0.5000 0.5000
0.5000 0.5000 0.5000
0.0000 0.0000 0.5000
0.0000 0.0000 0.0000
0.5000 0.0000 0.0000
0.5000 0.0000 0.5000
0.7542 0.2461 0.5083
0.2458 0.7539 0.4917
0.2377 0.2462 0.9920
0.2457 0.7538 0.0080
0.7623 0.7538 0.0080
0.7541 0.7622 0.5081
0.7543 0.2462 0.9920
0.2459 0.2378 0.4919
0.0000 0.5000 0.0000
```

* DOS at the Fermi energy: 9.2 states/eV/f.u.
* energy relative to the elements, uncorrected: -1.96 eV/atom
* electronic total energy: -6.4501 eV/atom

---

Entry 14:
SmHo4ScS8: optimized geometry, PBE.

Cell and atoms, written as POSCAR:
```
SmHo4ScS8
1.0
-4.3244 5.3601 4.0037
-7.6264 -1.5227 1.7266
-2.1565 -1.4664 7.5592
S Ho Sc Sm
8 4 1 1
direct
0.7540 0.2269 0.2650
0.2269 0.7540 0.2650
0.2465 0.2465 0.2605
0.2523 0.7555 0.7399
0.7588 0.7588 0.7236
0.7555 0.2523 0.7399
0.2523 0.2523 0.7399
0.7540 0.7540 0.2650
0.6254 0.6254 0.1239
0.0030 0.4906 0.5035
0.0030 0.0030 0.5035
0.4906 0.0030 0.5035
0.3745 0.3745 0.8766
0.0033 0.0033 0.9902
```

* DOS at the Fermi energy: 6.6 states/eV/f.u.
* energy relative to the elements, uncorrected: -1.92 eV/atom
* electronic total energy: -6.3715 eV/atom

---

Entry 15:
Sr3Ho3ScS8: optimized geometry, PBE.

Cell and atoms, written as POSCAR:
```
Sr3Ho3ScS8
1.0
-2.2480 3.3639 6.7947
3.2470 -7.2059 0.0436
4.7925 6.4834 -1.6250
Ho S Sc Sr
3 8 1 3
direct
0.5000 0.0000 0.5000
0.5000 0.5000 0.5000
0.0000 0.5000 0.5000
0.7490 0.9829 0.7168
0.7661 0.5323 0.2833
0.2341 0.9828 0.7169
0.2510 0.0171 0.2832
0.2339 0.4677 0.7167
0.2574 0.5148 0.2722
0.7426 0.4852 0.7278
0.7659 0.0172 0.2831
0.0000 0.0000 0.5000
0.0000 0.0000 0.0000
0.0000 0.5000 0.0000
0.5000 0.5000 0.0000
```

* DOS at the Fermi energy: 3.5 states/eV/f.u.
* energy relative to the elements, uncorrected: -2.06 eV/atom
* electronic total energy: -5.9351 eV/atom

---

Entry 16:
SrHoSc4S8: optimized geometry, PBE.

Cell and atoms, written as POSCAR:
```
SrHoSc4S8
1.0
-0.2364 3.3503 7.0343
1.5545 -4.2075 6.3751
6.7434 1.2535 3.9485
S Sc Ho Sr
8 4 1 1
direct
0.7519 0.2328 0.2635
0.7980 0.2406 0.7207
0.2406 0.2406 0.7207
0.2310 0.2310 0.3070
0.2406 0.7980 0.7207
0.2328 0.7519 0.2635
0.7570 0.7570 0.7289
0.7519 0.7519 0.2635
0.4948 0.0014 0.5023
0.0014 0.0014 0.5023
0.0014 0.4948 0.5023
0.6261 0.6261 0.1218
0.0014 0.0014 0.9957
0.3710 0.3710 0.8870
```

* DOS at the Fermi energy: 5.6 states/eV/f.u.
* energy relative to the elements, uncorrected: -1.87 eV/atom
* electronic total energy: -6.4806 eV/atom

---

Entry 17:
Tb4HoSc3S8: optimized geometry, PBE.

Cell and atoms, written as POSCAR:
```
Tb4HoSc3S8
1.0
-2.1175 5.1498 -5.2682
4.3982 -3.5339 -5.2223
-5.3198 -3.9710 3.8332
Tb S Sc Ho
4 8 3 1
direct
0.0000 0.0000 0.0000
0.0000 0.0000 0.5000
0.5000 0.0000 0.0000
0.5000 0.0000 0.5000
0.7389 0.7363 0.9876
0.2611 0.2637 0.0124
0.2487 0.7363 0.4974
0.7513 0.2637 0.0124
0.7513 0.2637 0.5026
0.2487 0.7363 0.9876
0.7439 0.7316 0.4877
0.2561 0.2684 0.5123
0.5000 0.5000 0.0000
0.5000 0.5000 0.5000
0.0000 0.5000 0.5000
0.0000 0.5000 0.0000
```

* DOS at the Fermi energy: 10.1 states/eV/f.u.
* energy relative to the elements, uncorrected: -1.94 eV/atom
* electronic total energy: -6.6297 eV/atom

---

Entry 18:
Tb2Ho3ScS6: optimized geometry, PBE.

Cell and atoms, written as POSCAR:
```
Tb2Ho3ScS6
1.0
3.8640 0.0000 0.0000
0.0000 7.7621 0.2764
-1.9320 -2.2376 8.1182
S Tb Ho Sc
6 2 3 1
direct
0.6656 0.5857 0.3311
0.3378 0.9218 0.6756
0.6622 0.0782 0.3244
0.3344 0.4143 0.6689
0.9981 0.2402 0.9961
0.0019 0.7598 0.0039
0.1663 0.3330 0.3326
0.8337 0.6670 0.6674
0.8314 0.1657 0.6628
0.1686 0.8343 0.3372
0.5000 0.5000 0.0000
0.5000 0.0000 0.0000
```

* DOS at the Fermi energy: 5.4 states/eV/f.u.
* energy relative to the elements, uncorrected: -1.96 eV/atom
* electronic total energy: -6.4666 eV/atom

---

Entry 19:
TbHoSc2S6: optimized geometry, PBE.

Cell and atoms, written as POSCAR:
```
TbHoSc2S6
1.0
6.7045 0.0002 0.0001
3.3524 5.8062 -0.0002
3.3520 1.9355 5.9635
Tb Ho S Sc
1 1 6 2
direct
0.3117 0.3117 0.0647
0.8133 0.8133 0.5600
0.8875 0.6334 0.2444
0.7353 0.1289 0.7438
0.2348 0.8874 0.2444
0.3919 0.7353 0.7438
0.1290 0.3919 0.7439
0.6333 0.2348 0.2444
0.5121 0.5120 0.4640
0.0127 0.0128 0.9618
```

* DOS at the Fermi energy: 0.0 states/eV/f.u.
* energy relative to the elements, uncorrected: -1.96 eV/atom
* electronic total energy: -6.6267 eV/atom

---

Entry 20:
TbHo3Sc2S6: optimized geometry, PBE.

Cell and atoms, written as POSCAR:
```
TbHo3Sc2S6
1.0
6.6402 -0.0099 -0.0009
-3.3271 5.7466 -0.0009
-1.1059 -1.9148 6.2556
Tb Sc S Ho
1 2 6 3
direct
0.0000 0.0000 0.0000
0.3343 0.6657 0.0000
0.6657 0.3343 0.0000
0.9191 0.5751 0.7568
0.0809 0.4249 0.2432
0.2641 0.2641 0.7605
0.7359 0.7359 0.2395
0.5751 0.9191 0.7568
0.4249 0.0809 0.2432
0.8377 0.1623 0.5000
0.5000 0.5000 0.5000
0.1623 0.8377 0.5000
```

* DOS at the Fermi energy: 5.3 states/eV/f.u.
* energy relative to the elements, uncorrected: -1.94 eV/atom
* electronic total energy: -6.5853 eV/atom